Run one
Computed, not measured: a geometry-optimized ZnAg2 structure at the PBE level of DFT.

Its spin magnetization is 0.00 μB per cell.

a b c (Å): 2.9135 2.9135 6.8943
angles (deg): 90.00 90.00 120.00
Space group P-3m1 (No. 164)
Inequivalent atoms, fractional coordinates:
Zn (0.0000, 0.0000, 0.0000) [1 per cell]
Ag (0.3333, 0.6667, 0.3230) [2 per cell]



Run two
Computed, not measured: a geometry-optimized ZnAg2 structure at the PBE level of DFT.

Its spin magnetization is 0.00 μB per cell.

a b c (Å): 2.8946 2.8946 14.4612
angles (deg): 90.00 90.00 120.00
Space group P6_3/mmc (No. 194)
Inequivalent atoms, fractional coordinates:
Zn (0.3333, 0.6667, 0.2500) [2 per cell]
Ag (0.0000, 0.0000, 0.0957) [4 per cell]



Run three
Computed, not measured: a geometry-optimized ZnAg2 structure at the PBE level of DFT.

Its spin magnetization is 0.00 μB per cell.

a b c (Å): 7.744 7.744 7.744
angles (deg): 90.00 90.00 90.00
Space group Fd-3m (No. 227, origin choice 2)
Inequivalent atoms, fractional coordinates:
Zn (0.125, 0.125, 0.125) [8 per cell]
Ag (0.000, 0.000, 0.500) [16 per cell]



run one is the most stable structure shown above.